# SrVWBr2

An optimized crystal structure of SrVWBr2 (GGA-PBE, Alexandria).

The energy is -4.15 eV per atom. As for the uncorrected formation energy: 1273 meV/atom.

The structure belongs to space group P4/mmm (No. 123); the cell edges are 5.700, 5.700 and 6.751 Å and the angles 90.00°, 90.00° and 90.00°. The asymmetric unit holds Sr at (0.000, 0.000, 0.000), V at (0.500, 0.500, 0.500), W at (0.000, 0.000, 0.500) and Br at (0.000, 0.500, 0.000).